1.
{
  "formula": "K3YSb",
  "functional": "PBE-GGA",
  "state": "relaxed",
  "e_form_raw_kj_per_mol_atoms": 95,
  "vol_a3_per_atom": 60.4,
  "polymorph_energy_ev_per_atom": 0.563,
  "magmom_total_mub_per_atom": 0.200,
  "cell": [[6.709, 0.000, 0.000], [0.000, 6.709, 0.000], [0.000, 0.000, 6.709]],
  "species": ["Y", "Sb", "K", "K", "K"],
  "fractional_positions": [[0.000, 0.000, 0.000], [0.500, 0.500, 0.500], [0.000, 0.500, 0.000], [0.000, 0.000, 0.500], [0.500, 0.000, 0.000]]
}


2.
{
  "formula": "KY3Sb",
  "functional": "PBE-GGA",
  "state": "relaxed",
  "e_form_raw_kj_per_mol_atoms": 103,
  "vol_a3_per_atom": 31.7,
  "polymorph_energy_ev_per_atom": 0.941,
  "magmom_total_mub_per_atom": 0.000,
  "cell": [[5.412, 0.000, 0.000], [0.000, 5.412, 0.000], [0.000, 0.000, 5.412]],
  "species": ["Y", "Y", "Y", "Sb", "K"],
  "fractional_positions": [[0.000, 0.500, 0.000], [0.000, 0.000, 0.500], [0.500, 0.000, 0.000], [0.500, 0.500, 0.500], [0.000, 0.000, 0.000]]
}


3.
{
  "formula": "KY2Sb",
  "functional": "PBE-GGA",
  "state": "relaxed",
  "e_form_raw_kj_per_mol_atoms": 14,
  "vol_a3_per_atom": 31.8,
  "magmom_total_mub_per_atom": 0.297,
  "cell": [[-4.884, -1.525, 2.379], [-4.108, -2.221, -3.166], [-1.307, -5.466, 0.503]],
  "species": ["K", "Sb", "Y", "Y"],
  "fractional_positions": [[0.500, 0.500, 0.500], [0.750, 0.750, 0.750], [0.000, 0.000, 0.000], [0.250, 0.250, 0.250]]
}


4.
{
  "formula": "K2YSb",
  "functional": "PBE-GGA",
  "state": "relaxed",
  "e_form_raw_kj_per_mol_atoms": 4,
  "vol_a3_per_atom": 34.4,
  "magmom_total_mub_per_atom": 0.329,
  "cell": [[5.800, -0.008, 0.000], [0.055, 5.800, 0.000], [-2.928, -2.896, 4.085]],
  "species": ["K", "K", "Sb", "Y"],
  "fractional_positions": [[0.000, 0.000, 0.000], [0.250, 0.750, 0.500], [0.500, 0.500, 0.000], [0.750, 0.250, 0.500]]
}


5.
{
  "formula": "KY2Sb",
  "functional": "PBE-GGA",
  "state": "relaxed",
  "e_form_raw_kj_per_mol_atoms": -2,
  "vol_a3_per_atom": 31.9,
  "magmom_total_mub_per_atom": 0.000,
  "cell": [[-2.738, -5.752, 0.548], [4.159, 1.015, -5.218], [3.013, -1.461, 1.013]],
  "species": ["K", "Sb", "Y", "Y"],
  "fractional_positions": [[0.000, 0.500, 0.500], [0.500, 0.500, 0.000], [0.000, 0.000, 0.000], [0.500, 0.000, 0.500]]
}


6.
{
  "formula": "K4YSb",
  "functional": "PBE-GGA",
  "state": "relaxed",
  "e_form_raw_kj_per_mol_atoms": 42,
  "vol_a3_per_atom": 43.6,
  "magmom_total_mub_per_atom": 0.000,
  "cell": [[6.056, -0.973, 3.731], [2.979, 5.510, 3.508], [-0.136, 0.182, 7.176]],
  "species": ["K", "K", "K", "K", "Y", "Sb"],
  "fractional_positions": [[0.868, 0.377, 0.377], [0.377, 0.377, 0.868], [0.377, 0.868, 0.377], [0.377, 0.377, 0.377], [0.000, 0.000, 0.000], [0.750, 0.750, 0.750]]
}


7.
{
  "formula": "KY2Sb",
  "functional": "PBE-GGA",
  "state": "relaxed",
  "e_form_raw_kj_per_mol_atoms": -7,
  "vol_a3_per_atom": 31.2,
  "magmom_total_mub_per_atom": 0.000,
  "cell": [[-5.873, -2.828, 0.815], [-1.904, -1.781, 6.029], [2.513, 5.290, -2.975]],
  "species": ["K", "Sb", "Y", "Y"],
  "fractional_positions": [[0.500, 0.500, 0.000], [0.750, 0.250, 0.500], [0.000, 0.000, 0.000], [0.250, 0.750, 0.500]]
}


8.
{
  "formula": "K3ZnSb2",
  "functional": "PBE-GGA",
  "state": "relaxed",
  "e_form_raw_kj_per_mol_atoms": -23,
  "vol_a3_per_atom": 45.1,
  "magmom_total_mub_per_atom": 0.170,
  "cell": [[7.736, 0.000, 0.000], [0.000, 9.872, 0.000], [-3.868, -4.936, 7.084]],
  "species": ["K", "K", "K", "K", "K", "K", "Zn", "Zn", "Sb", "Sb", "Sb", "Sb"],
  "fractional_positions": [[0.500, 0.250, 0.000], [0.500, 0.750, 0.000], [0.780, 0.030, 0.560], [0.220, 0.470, 0.440], [0.220, 0.970, 0.440], [0.780, 0.530, 0.560], [0.000, 0.500, 0.000], [0.000, 0.000, 0.000], [0.630, 0.384, 0.768], [0.862, 0.116, 0.232], [0.138, 0.884, 0.768], [0.370, 0.616, 0.232]]
}